(1)
A plane-wave DFT calculation with GGA-PBE was carried out for CaWCl after structural relaxation.

abc: 3.171 3.171 7.299
angles: 90.00 90.00 120.00
Fractional coordinates of all 3 atoms:
Ca (0.000, 0.000, 0.026)
W (0.667, 0.333, 0.678)
Cl (0.333, 0.667, 0.296)

energy relative to the elements, uncorrected = 38.3 kJ/mol of atoms
raw total energy = -15.6 eV per cell
symmetry = P3m1, No. 156
energy above the most stable polymorph in this dataset = 72 meV per atom

---

(2)
A plane-wave DFT calculation with GGA-PBE was carried out for CaWCl2 after structural relaxation.

abc: 3.109 3.109 11.356
angles: 90.00 90.00 90.00
Site moments in Bohr magnetons follow the coordinates.
Fractional coordinates of all 4 atoms:
Cl (0.000, 0.000, 0.605)  0.00
Cl (0.000, 0.000, 0.895)  0.00
Ca (0.500, 0.500, 0.750)  0.00
W (0.500, 0.500, 0.250)  1.17

energy relative to the elements, uncorrected = -4.2 kJ/mol of atoms
raw total energy = -18.8 eV per cell
symmetry = P4/mmm, No. 123
energy above the most stable polymorph in this dataset = 403 meV per atom